(1)
GaAgSbOsPt | Alexandria | GGA-PBE | relaxed; electronic total energy = -5.42 eV/atom; symmetry = No. 8; energy above the most stable polymorph in this dataset = 102 meV per atom; total magnetization = 0.00 μB/cell; volume = 18.060 A^3/atom; DOS(E_F) = 0.24 states/eV per atom
1.0
-0.8022 -5.3875 1.5285
2.1870 -1.1990 -3.0782
7.2740 4.7006 3.3371
Ga Ag Sb Os Pt
2 2 2 2 2
direct
0.3728 0.0000 0.9611
0.3728 0.5000 0.4611
0.0851 0.0000 0.2160
0.0851 0.5000 0.7160
0.7104 0.0000 0.8009
0.7104 0.5000 0.3009
0.6717 0.0000 0.4923
0.6717 0.5000 0.9923
0.1861 0.0000 0.5447
0.1861 0.5000 0.0447


(2)
CsBa2Na2Br7 | Alexandria | GGA-PBE | relaxed; electronic total energy = -3.45 eV/atom; symmetry = No. 44; total magnetization = 0.00 μB/cell; volume = 42.936 A^3/atom; DOS(E_F) = 0.00 states/eV per atom
1.0
6.3694 0.0000 0.0000
0.0000 6.3675 0.0003
-3.1847 -3.1831 12.7037
Cs Ba Na Br
1 2 2 7
direct
0.0000 0.1193 0.0001
0.3754 0.3783 0.7507
0.6247 0.6274 0.2493
0.2498 0.7463 0.4996
0.7501 0.2465 0.5002
0.3701 0.8703 0.7402
0.7499 0.7443 0.4999
0.1233 0.6073 0.2467
0.6299 0.1299 0.2598
0.2501 0.2445 0.5002
0.8767 0.3606 0.7534
0.5000 0.4250 0.0000


(3)
Ac3La2Nd8 | Alexandria | GGA-PBE | relaxed; electronic total energy = -4.39 eV/atom; symmetry = No. 12; total magnetization = 0.00 μB/cell; volume = 39.367 A^3/atom; DOS(E_F) = 1.90 states/eV per atom; energy of formation = 0.251 eV per atom
1.0
-3.5742 4.4057 -1.4596
0.6108 -2.1009 -7.8372
-8.7474 -5.4928 5.0147
Ac La Nd
3 2 8
direct
0.5000 0.0000 0.0000
0.0000 0.2876 0.0000
0.0000 0.7124 0.0000
0.4930 0.2412 0.4823
0.5070 0.7588 0.5177
0.0050 0.6735 0.3469
0.9950 0.3265 0.6531
0.9981 0.1332 0.2664
0.0019 0.8668 0.7336
0.4979 0.5906 0.7775
0.4979 0.1868 0.7775
0.5021 0.8132 0.2225
0.5021 0.4094 0.2225